PBE Er6BiTe2, optimized geometry; raw formation energy = -5.701 eV/f.u.; crystal system = monoclinic; total moment = 0.00 μB per atom; total DFT energy (no corrections) = -4.80 eV/atom; DOS at the Fermi energy = 0.80 states/eV per atom; volume = 29.592 A^3/atom; density = 9.15 g/cm3
1.0
6.4813 -2.9864 0.0000
6.4813 2.9864 0.0000
-6.1816 0.0000 6.8797
Er Bi Te
6 1 2
Cartesian
-0.6776 0.0000 1.5375
-1.1116 0.0000 5.9261
1.7807 0.0000 4.0230
5.0003 0.0000 2.8566
7.8926 0.0000 0.9535
7.4586 0.0000 5.3422
-3.0908 0.0000 3.4398
2.4498 0.0000 0.9646
4.3312 0.0000 5.9151

---

PBE Hf2ZrTl, optimized geometry; polymorph energy (0 for the lowest one) = 0 meV per atom; crystal system = tetragonal; total moment = 0.00 μB per atom; total DFT energy (no corrections) = -7.73 eV/atom; DOS at the Fermi energy = 0.73 states/eV per atom; volume = 22.143 A^3/atom; density = 12.23 g/cm3
1.0
4.4459 0.0000 0.0000
0.0000 4.4459 0.0000
0.0000 0.0000 4.4809
Hf Zr Tl
2 1 1
Cartesian
0.0000 2.2230 0.0000
2.2230 0.0000 0.0000
0.0000 0.0000 2.2405
2.2230 2.2230 2.2405

---

PBE LaTh2Bi4, optimized geometry; polymorph energy (0 for the lowest one) = 0 meV per atom; crystal system = tetragonal; total moment = 0.00 μB per atom; total DFT energy (no corrections) = -5.75 eV/atom; DOS at the Fermi energy = 0.60 states/eV per atom; volume = 32.845 A^3/atom; density = 10.39 g/cm3
1.0
-4.8471 4.8471 4.8930
4.8471 -4.8471 4.8930
4.8471 4.8471 -4.8930
La Th Bi
2 4 8
Cartesian
0.0000 0.0000 0.0000
0.0000 4.8471 2.4465
2.4236 3.6278 -1.2232
6.0665 2.4236 1.2232
2.4236 1.2193 3.6697
-1.2193 2.4236 6.1162
5.6402 3.2125 -1.9574
3.2125 0.7931 0.4891
4.0540 -1.6346 4.4039
-0.7931 1.6346 2.9356
3.2125 4.0540 1.9574
0.7931 6.4817 -0.4891
1.6346 0.7931 6.8504
1.6346 4.0540 5.3821